[1]
! Ta2SiIr | Alexandria | PBE | optimized geometry; values from VASP
! Size of the total moment ... 0.000 μB per cell
! Space group ... Cm (8)
! Final energy ... -9.90 eV/atom
! Raw formation energy ... -1.61 eV/f.u.
&SYSTEM
  ibrav = 0, nat = 4, ntyp = 3
/
ATOMIC_SPECIES
Ir 192.22 Ir.upf
Si 28.09 Si.upf
Ta 180.95 Ta.upf
ATOMIC_POSITIONS crystal
Ir 0.531 0.531 0.470
Si 0.233 0.233 0.265
Ta 0.973 0.973 0.028
Ta 0.762 0.762 0.737
CELL_PARAMETERS angstrom
5.498 0.066 0.186
4.706 2.843 0.186
1.772 0.505 4.221



[2]
! Pr3Nd3DyTe8 | Alexandria | PBE | optimized geometry; values from VASP
! Size of the total moment ... 0.000 μB per cell
! Space group ... R-3m (166)
! Final energy ... -5.34 eV/atom
! Raw formation energy ... -21.78 eV/f.u.
&SYSTEM
  ibrav = 0, nat = 15, ntyp = 4
/
ATOMIC_SPECIES
Pr 140.91 Pr.upf
Nd 144.24 Nd.upf
Dy 162.50 Dy.upf
Te 127.60 Te.upf
ATOMIC_POSITIONS crystal
Pr 0.000 0.000 0.000
Pr 0.000 0.500 0.000
Pr 0.500 0.500 0.000
Nd 0.500 0.000 0.500
Nd 0.500 0.500 0.500
Nd 0.000 0.500 0.500
Dy 0.000 0.000 0.500
Te 0.251 0.502 0.252
Te 0.749 0.498 0.748
Te 0.752 0.503 0.253
Te 0.248 0.497 0.747
Te 0.752 0.002 0.253
Te 0.248 0.998 0.747
Te 0.250 0.002 0.253
Te 0.750 0.998 0.747
CELL_PARAMETERS angstrom
-7.967 0.262 4.134
4.933 -7.500 0.231
2.635 7.251 4.620



[3]
! V2CrCu | Alexandria | PBE | optimized geometry; values from VASP
! Size of the total moment ... 0.001 μB per cell
! Space group ... I-42d (122)
! Formation enthalpy at 0 K ... 0.5752 eV per atom
! Final energy ... -7.41 eV/atom
&SYSTEM
  ibrav = 0, nat = 8, ntyp = 3
/
ATOMIC_SPECIES
Cr 52.00 Cr.upf
Cu 63.55 Cu.upf
V 50.94 V.upf
ATOMIC_POSITIONS crystal
Cr 0.500 0.500 0.000
Cr 0.250 0.750 0.500
Cu 0.000 0.000 0.000
Cu 0.750 0.250 0.500
V 0.615 0.125 0.250
V 0.135 0.625 0.250
V 0.375 0.385 0.750
V 0.875 0.865 0.750
CELL_PARAMETERS angstrom
6.532 0.000 0.000
0.000 6.532 0.000
3.266 3.266 2.512



[4]
! K2NaCa2 | Alexandria | PBE | optimized geometry; values from VASP
! Size of the total moment ... 0.000 μB per cell
! Space group ... P4/mbm (127)
! Formation enthalpy at 0 K ... 0.2833 eV per atom
! Final energy ... -1.22 eV/atom
&SYSTEM
  ibrav = 0, nat = 10, ntyp = 3
/
ATOMIC_SPECIES
Na 22.99 Na.upf
Ca 40.08 Ca.upf
K 39.10 K.upf
ATOMIC_POSITIONS crystal
Na 0.000 0.000 0.000
Na 0.500 0.500 0.000
Ca 0.113 0.613 0.500
Ca 0.613 0.887 0.500
Ca 0.887 0.387 0.500
Ca 0.387 0.113 0.500
K 0.319 0.819 0.000
K 0.819 0.681 0.000
K 0.681 0.181 0.000
K 0.181 0.319 0.000
CELL_PARAMETERS angstrom
-8.974 -7.359 -1.641
6.615 -8.908 3.775
-1.276 0.693 3.870



[5]
! NaTi2Cl6 | Alexandria | PBE | optimized geometry; values from VASP
! Size of the total moment ... 3.000 μB per cell
! Space group ... P-31m (162)
! Final energy ... -4.73 eV/atom
! Raw formation energy ... -14.41 eV/f.u.
&SYSTEM
  ibrav = 0, nat = 9, ntyp = 3
/
ATOMIC_SPECIES
Na 22.99 Na.upf
Ti 47.87 Ti.upf
Cl 35.45 Cl.upf
ATOMIC_POSITIONS crystal
Na 0.000 0.000 0.000
Ti 0.500 0.667 0.333
Ti 0.500 0.333 0.667
Cl 0.718 0.654 0.654
Cl 0.282 0.654 0.000
Cl 0.282 0.000 0.654
Cl 0.718 0.346 0.000
Cl 0.282 0.346 0.346
Cl 0.718 0.000 0.346
CELL_PARAMETERS angstrom
-1.564 -5.690 -2.978
1.956 2.275 -5.374
3.916 -3.002 3.679



[6]
! Tb4MgAl2Cd | Alexandria | PBE | optimized geometry; values from VASP
! Size of the total moment ... 0.000 μB per cell
! Space group ... R-3m (166)
! Formation enthalpy at 0 K ... -0.3193 eV per atom
! Final energy ... -3.88 eV/atom
&SYSTEM
  ibrav = 0, nat = 8, ntyp = 4
/
ATOMIC_SPECIES
Tb 158.93 Tb.upf
Mg 24.30 Mg.upf
Al 26.98 Al.upf
Cd 112.41 Cd.upf
ATOMIC_POSITIONS crystal
Tb 0.376 0.376 0.872
Tb 0.874 0.874 0.378
Tb 0.126 0.126 0.622
Tb 0.624 0.624 0.128
Mg 0.000 0.000 0.000
Al 0.748 0.748 0.757
Al 0.252 0.252 0.243
Cd 0.500 0.500 0.500
CELL_PARAMETERS angstrom
5.219 0.000 0.000
2.609 4.519 0.000
2.609 1.506 8.539



[7]
! AcRhAu2 | Alexandria | PBE | optimized geometry; values from VASP
! Size of the total moment ... 0.000 μB per cell
! Space group ... C2/c (15)
! Formation enthalpy at 0 K ... -0.6077 eV per atom
! Final energy ... -5.11 eV/atom
&SYSTEM
  ibrav = 0, nat = 8, ntyp = 3
/
ATOMIC_SPECIES
Ac 227.00 Ac.upf
Rh 102.91 Rh.upf
Au 196.97 Au.upf
ATOMIC_POSITIONS crystal
Ac 0.250 0.139 0.722
Ac 0.750 0.861 0.278
Rh 0.250 0.756 0.488
Rh 0.750 0.244 0.512
Au 0.585 0.428 0.831
Au 0.915 0.741 0.831
Au 0.415 0.572 0.169
Au 0.085 0.259 0.169
CELL_PARAMETERS angstrom
5.395 0.037 0.923
2.290 4.748 2.025
0.098 0.230 7.223



[8]
! CrRuRh4 | Alexandria | PBE | optimized geometry; values from VASP
! Size of the total moment ... 0.927 μB per cell
! Space group ... C2/m (12)
! Formation enthalpy at 0 K ... -0.0377 eV per atom
! Final energy ... -8.09 eV/atom
&SYSTEM
  ibrav = 0, nat = 6, ntyp = 3
/
ATOMIC_SPECIES
Cr 52.00 Cr.upf
Ru 101.07 Ru.upf
Rh 102.91 Rh.upf
ATOMIC_POSITIONS crystal
Cr 0.998 0.503 0.501
Ru 0.498 0.003 0.001
Rh 0.335 0.166 0.501
Rh 0.662 0.839 0.501
Rh 0.835 0.666 0.001
Rh 0.162 0.339 0.001
CELL_PARAMETERS angstrom
4.616 -0.059 0.810
-2.508 3.878 0.801
-0.040 -0.061 4.647



[9]
! Er3ScS | Alexandria | PBE | optimized geometry; values from VASP
! Size of the total moment ... 0.024 μB per cell
! Space group ... Pm-3m (221)
! Final energy ... -5.41 eV/atom
! Raw formation energy ... -2.92 eV/f.u.
&SYSTEM
  ibrav = 0, nat = 5, ntyp = 3
/
ATOMIC_SPECIES
Sc 44.96 Sc.upf
S 32.06 S.upf
Er 167.26 Er.upf
ATOMIC_POSITIONS crystal
Sc 0.500 0.500 0.500
S 0.000 0.000 0.000
Er 0.000 0.500 0.000
Er 0.000 0.000 0.500
Er 0.500 0.000 0.000
CELL_PARAMETERS angstrom
5.190 0.000 0.000
0.000 5.190 0.000
0.000 0.000 5.190



[10]
! ScCd2Ru | Alexandria | PBE | optimized geometry; values from VASP
! Size of the total moment ... 0.000 μB per cell
! Space group ... P4mm (99)
! Formation enthalpy at 0 K ... -0.1776 eV per atom
! Final energy ... -4.54 eV/atom
&SYSTEM
  ibrav = 0, nat = 4, ntyp = 3
/
ATOMIC_SPECIES
Sc 44.96 Sc.upf
Ru 101.07 Ru.upf
Cd 112.41 Cd.upf
ATOMIC_POSITIONS crystal
Sc 0.500 0.500 0.705
Ru 0.000 0.000 0.522
Cd 0.000 0.000 0.001
Cd 0.500 0.500 0.272
CELL_PARAMETERS angstrom
3.345 0.000 0.000
0.000 3.346 0.000
0.000 0.000 6.902



[11]
! ScNiTe3 | Alexandria | PBE | optimized geometry; values from VASP
! Size of the total moment ... 0.000 μB per cell
! Space group ... Pm-3m (221)
! Final energy ... -4.36 eV/atom
! Raw formation energy ... -0.24 eV/f.u.
&SYSTEM
  ibrav = 0, nat = 5, ntyp = 3
/
ATOMIC_SPECIES
Sc 44.96 Sc.upf
Ni 58.69 Ni.upf
Te 127.60 Te.upf
ATOMIC_POSITIONS crystal
Sc 0.500 0.500 0.500
Ni 0.000 0.000 0.000
Te 0.000 0.500 0.000
Te 0.000 0.000 0.500
Te 0.500 0.000 0.000
CELL_PARAMETERS angstrom
-3.314 -2.596 -2.769
-1.734 -2.234 4.171
-3.376 3.696 0.576



[12]
! Ca3MgP | Alexandria | PBE | optimized geometry; values from VASP
! Size of the total moment ... 0.000 μB per cell
! Space group ... C2/c (15)
! Formation enthalpy at 0 K ... -0.4420 eV per atom
! Final energy ... -3.04 eV/atom
&SYSTEM
  ibrav = 0, nat = 20, ntyp = 3
/
ATOMIC_SPECIES
P 30.97 P.upf
Ca 40.08 Ca.upf
Mg 24.30 Mg.upf
ATOMIC_POSITIONS crystal
P 0.750 0.194 0.694
P 0.250 0.806 0.306
P 0.750 0.507 0.007
P 0.250 0.493 0.993
Ca 0.496 0.191 0.439
Ca 0.004 0.939 0.691
Ca 0.504 0.809 0.561
Ca 0.996 0.061 0.309
Ca 0.985 0.223 0.950
Ca 0.515 0.450 0.723
Ca 0.015 0.777 0.050
Ca 0.485 0.550 0.277
Ca 0.611 0.922 0.921
Ca 0.889 0.421 0.422
Ca 0.389 0.078 0.079
Ca 0.111 0.579 0.578
Mg 0.096 0.371 0.285
Mg 0.404 0.785 0.871
Mg 0.904 0.629 0.715
Mg 0.596 0.215 0.129
CELL_PARAMETERS angstrom
-3.237 12.537 -2.381
-8.933 3.912 0.830
-2.265 -5.122 8.026